1.
First-principles (GGA-PBE) data for a relaxed NaClF6 crystal, as listed in Alexandria via LeMat-Bulk.

The structure belongs to space group C2/m (No. 12); the cell edges are 5.661, 8.178 and 4.922 Å and the angles 90.00°, 102.42° and 90.00°. The distinct sites, in fractional coordinates, are Na at (0.000, 0.000, 0.000), Cl at (0.000, 0.500, 0.500), F at (0.151, 0.346, 0.742) and F at (0.244, 0.000, 0.663).

---

2.
First-principles (GGA-PBE) data for a relaxed NaClF crystal, as listed in Alexandria via LeMat-Bulk.

The structure belongs to space group C2/m (No. 12); the cell edges are 4.870, 4.793 and 9.093 Å and the angles 90.00°, 93.63° and 90.00°. The distinct sites, in fractional coordinates, are Na at (0.230, 0.000, 0.367), Cl at (0.082, 0.500, 0.106) and F at (0.240, 0.500, 0.378).

The energy above the most stable polymorph in this dataset comes out at 0 meV/atom.

---

3.
First-principles (GGA-PBE) data for a relaxed NaClF crystal, as listed in Alexandria via LeMat-Bulk.

The structure belongs to space group Pm (No. 6); the cell edges are 2.727, 3.439 and 12.430 Å and the angles 90.00°, 92.66° and 90.00°. The distinct sites, in fractional coordinates, are Na at (0.000, 0.000, 0.000), Na at (0.455, 0.500, 0.790), Cl at (0.018, 0.000, 0.244), Cl at (0.437, 0.500, 0.547), F at (0.497, 0.500, 0.985) and F at (0.958, 0.000, 0.805).

The energy above the most stable polymorph in this dataset comes out at 231 meV/atom.

---

4.
First-principles (GGA-PBE) data for a relaxed Na2Cl2F crystal, as listed in Alexandria via LeMat-Bulk.

The structure belongs to space group I4/mmm (No. 139); the cell edges are 4.020, 4.020 and 14.146 Å and the angles 90.00°, 90.00° and 90.00°. The distinct sites, in fractional coordinates, are Na at (0.000, 0.000, 0.110), Cl at (0.000, 0.500, 0.250) and F at (0.000, 0.000, 0.500).

---

5.
First-principles (GGA-PBE) data for a relaxed Na2ClF6 crystal, as listed in Alexandria via LeMat-Bulk.

The structure belongs to space group P2_1/c (No. 14); the cell edges are 5.402, 6.538 and 9.155 Å and the angles 90.00°, 125.40° and 90.00°. The distinct sites, in fractional coordinates, are Na at (0.250, 0.093, 0.221), Cl at (0.000, 0.000, 0.500), F at (0.115, 0.045, 0.726), F at (0.232, 0.683, 0.561) and F at (0.337, 0.132, 0.550).

The energy above the most stable polymorph in this dataset comes out at 26 meV/atom.

---

6.
First-principles (GGA-PBE) data for a relaxed NaCl3F crystal, as listed in Alexandria via LeMat-Bulk.

The structure belongs to space group Pm-3m (No. 221); the cell edges are 4.768, 4.768 and 4.768 Å and the angles 90.00°, 90.00° and 90.00°. The distinct sites, in fractional coordinates, are Na at (0.000, 0.000, 0.000), Cl at (0.000, 0.500, 0.500) and F at (0.500, 0.500, 0.500).

The energy above the most stable polymorph in this dataset comes out at 0 meV/atom.

---

no.,M_tot (μB per formula unit),mass density (g/cm3),raw formation energy (eV/atom)
1,0.00,2.6,-1.1328
2,0.00,2.4,-1.7544
3,0.11,2.2,-1.5234
4,0.00,2.0,-1.2706
5,1.00,2.5,-1.4915
6,0.00,2.3,-0.3401